1.
The following is a DFT calculation (PBE) of LiPu4Pa3N8 after structural relaxation.

Energy relative to the elements, uncorrected: -1.317 eV per atom
Symmetry: No. 166

abc: 6.9600 6.9600 6.9600
angles: 60.00 60.00 60.00
With the nearest neighbours (Å) after each atom.
Atoms (fractional coordinates):
Li  0.0000  0.0000  0.0000  6 N 2.53
Pu  0.0000  0.0000  0.5000  6 N 2.51-2.53
Pu  0.0000  0.5000  0.0000  6 N 2.51-2.53
Pu  0.5000  0.0000  0.0000  6 N 2.51-2.53
Pu  0.5000  0.5000  0.5000  6 N 2.40
Pa  0.0000  0.5000  0.5000  6 N 2.40-2.42
Pa  0.5000  0.0000  0.5000  6 N 2.40-2.42
Pa  0.5000  0.5000  0.0000  6 N 2.40-2.42
N  0.2546  0.2546  0.2546  3 Pa 2.42, 3 Pu 2.51
N  0.2568  0.2568  0.7304  3 Pu 2.40-2.53, 2 Pa 2.40, 1 Li 2.53
N  0.2568  0.7304  0.2568  3 Pu 2.40-2.53, 2 Pa 2.40, 1 Li 2.53
N  0.2696  0.7432  0.7432  3 Pu 2.40-2.53, 2 Pa 2.40, 1 Li 2.53
N  0.7304  0.2568  0.2568  3 Pu 2.40-2.53, 2 Pa 2.40, 1 Li 2.53
N  0.7432  0.2696  0.7432  3 Pu 2.40-2.53, 2 Pa 2.40, 1 Li 2.53
N  0.7432  0.7432  0.2696  3 Pu 2.40-2.53, 2 Pa 2.40, 1 Li 2.53
N  0.7454  0.7454  0.7454  3 Pa 2.42, 3 Pu 2.51

=====

2.
The following is a DFT calculation (PBE) of Li3PuPa3N8 after structural relaxation.

Energy relative to the elements, uncorrected: -1.141 eV per atom
Symmetry: No. 166

abc: 6.3914 6.3914 6.3914
angles: 67.27 67.27 67.27
With the nearest neighbours (Å) after each atom.
Atoms (fractional coordinates):
Li  0.0000  0.5000  0.5000  6 N 2.48-2.51
Li  0.5000  0.0000  0.5000  6 N 2.48-2.51
Li  0.5000  0.5000  0.0000  6 N 2.48-2.51
Pu  0.5000  0.5000  0.5000  6 N 2.17
Pa  0.0000  0.0000  0.5000  6 N 2.28-2.32
Pa  0.0000  0.5000  0.0000  6 N 2.28-2.32
Pa  0.5000  0.0000  0.0000  6 N 2.28-2.32
N  0.2351  0.2351  0.2351  3 Pa 2.28, 3 Li 2.51
N  0.2507  0.7245  0.7245  1 Pu 2.17, 2 Pa 2.32
N  0.2755  0.2755  0.7493  1 Pu 2.17, 2 Pa 2.32
N  0.2755  0.7493  0.2755  1 Pu 2.17, 2 Pa 2.32
N  0.7245  0.2507  0.7245  1 Pu 2.17, 2 Pa 2.32
N  0.7245  0.7245  0.2507  1 Pu 2.17, 2 Pa 2.32
N  0.7493  0.2755  0.2755  1 Pu 2.17, 2 Pa 2.32
N  0.7649  0.7649  0.7649  3 Pa 2.28, 3 Li 2.51

=====

| no. | Fermi-level density of states (states/eV/f.u.) |
| --- | --- |
| 1 | 22.091 |
| 2 | 6.070 |